Record 1
Si2MoAs after structural relaxation, computed with PBE-GGA.

Cell: 3.1846 3.1846 6.4559 Å, 90.00 90.00 90.00°
Sites, in units of the cell vectors:
Si (0.0000, 0.0000, 0.0000)
Si (0.5000, 0.5000, 0.2069)
Mo (0.5000, 0.5000, 0.7950)
As (0.0000, 0.0000, 0.5724)

Output
ΔE_f (raw) in kcal/mol of atoms: 3.12
ρ in g cm⁻³: 5.76


Record 2
DyHo after structural relaxation, computed with PBE-GGA.

Cell: 3.9805 3.9805 3.9805 Å, 90.00 90.00 90.00°
Sites, in units of the cell vectors:
Dy (0.0000, 0.0000, 0.0000)
Ho (0.5000, 0.5000, 0.5000)

Output
Energy above the lowest structure with this stoichiometry in eV per atom: 0.136
Formation enthalpy at 0 K in eV per atom: 0.141
ρ in g cm⁻³: 8.62